Entry 1:
First-principles (PBE) data for an optimized crystal structure of K3LiBr, as listed in Alexandria.

Properties
magnetic moment	0.000	μB/f.u.
final energy	-1.916	eV/atom
ΔE to the lowest computed polymorph	0	meV/atom

Lattice parameters (Å, degrees): 6.475 6.475 6.475 90.00 90.00 90.00
Space group Pm-3m (No. 221)
Unique sites:
K 0.000 0.000 0.500 x3
Li 0.500 0.500 0.500 x1
Br 0.000 0.000 0.000 x1

---

Entry 2:
First-principles (PBE) data for an optimized crystal structure of LiHoGa2Pd, as listed in Alexandria.

Properties
magnetic moment	0.000	μB/f.u.
final energy	-4.137	eV/atom
energy of formation	-0.59	eV per atom

Lattice parameters (Å, degrees): 3.972 3.972 11.588 90.00 90.00 90.00
Space group I-4m2 (No. 119)
Unique sites:
Li 0.000 0.000 0.000 x2
Ho 0.000 0.500 0.250 x2
Ga 0.000 0.500 0.639 x4
Pd 0.000 0.000 0.500 x2

---

Entry 3:
First-principles (PBE) data for an optimized crystal structure of TlRh2Br, as listed in Alexandria.

Properties
magnetic moment	0.000	μB/f.u.
final energy	-4.375	eV/atom
ΔE to the lowest computed polymorph	72	meV/atom

Lattice parameters (Å, degrees): 3.337 3.337 7.265 90.00 90.00 90.00
Space group P4mm (No. 99)
Unique sites:
Tl 0.000 0.000 0.000 x1
Rh 0.000 0.000 0.594 x1
Rh 0.500 0.500 0.769 x1
Br 0.500 0.500 0.363 x1

---

Entry 4:
First-principles (PBE) data for an optimized crystal structure of KNaIn, as listed in Alexandria.

Properties
magnetic moment	0.000	μB/f.u.
final energy	-1.724	eV/atom
energy of formation	-0.01	eV per atom
ΔE to the lowest computed polymorph	53	meV/atom

Lattice parameters (Å, degrees): 6.071 6.513 6.898 117.43 90.69 90.11
Space group P1 (No. 1)
Unique sites:
K 0.000 0.000 0.000 x1
K 0.237 0.684 0.366 x1
Na 0.235 0.318 0.637 x1
Na 0.699 0.500 0.002 x1
In 0.735 0.023 0.512 x1
In 0.735 0.489 0.513 x1

---

Entry 5:
First-principles (PBE) data for an optimized crystal structure of Sc2GeTe4, as listed in Alexandria.

Properties
magnetic moment	0.000	μB/f.u.
final energy	-5.137	eV/atom

Lattice parameters (Å, degrees): 15.587 4.166 7.247 90.00 115.98 90.00
Space group C2/m (No. 12)
Unique sites:
Sc 0.241 0.000 0.221 x4
Ge 0.000 0.500 0.500 x2
Te 0.122 0.500 0.957 x4
Te 0.136 0.000 0.478 x4

---

Entry 6:
First-principles (PBE) data for an optimized crystal structure of TbEr4Tl2, as listed in Alexandria.

Properties
magnetic moment	0.000	μB/f.u.
final energy	-4.023	eV/atom
energy of formation	-0.08	eV per atom
ΔE to the lowest computed polymorph	0	meV/atom

Lattice parameters (Å, degrees): 6.814 11.809 10.616 90.00 90.00 90.00
Space group Cmce (No. 64)
Unique sites:
Tb 0.000 0.000 0.000 x4
Er 0.000 0.043 0.329 x8
Er 0.250 0.197 0.750 x8
Tl 0.000 0.236 0.515 x8

---

Entry 7:
First-principles (PBE) data for an optimized crystal structure of SrRe2Pt, as listed in Alexandria.

Properties
magnetic moment	0.000	μB/f.u.
final energy	-7.723	eV/atom
energy of formation	0.43	eV per atom
ΔE to the lowest computed polymorph	189	meV/atom

Lattice parameters (Å, degrees): 2.794 4.828 11.056 90.00 90.00 90.00
Space group Immm (No. 71)
Unique sites:
Sr 0.000 0.000 0.000 x2
Re 0.000 0.500 0.217 x4
Pt 0.000 0.000 0.500 x2

---

Entry 8:
First-principles (PBE) data for an optimized crystal structure of PdSNCl2, as listed in Alexandria.

Properties
magnetic moment	0.000	μB/f.u.
final energy	-3.074	eV/atom
ΔE to the lowest computed polymorph	49	meV/atom

Lattice parameters (Å, degrees): 4.210 4.210 4.524 90.00 90.00 90.00
Space group P4/mmm (No. 123)
Unique sites:
Pd 0.000 0.000 0.000 x1
S 0.500 0.500 0.000 x1
N 0.500 0.500 0.500 x1
Cl 0.000 0.500 0.500 x2

---

Entry 9:
First-principles (PBE) data for an optimized crystal structure of Er3InHg, as listed in Alexandria.

Properties
magnetic moment	0.000	μB/f.u.
final energy	-3.550	eV/atom
energy of formation	-0.20	eV per atom
ΔE to the lowest computed polymorph	149	meV/atom

Lattice parameters (Å, degrees): 6.197 9.901 9.098 90.00 90.00 90.00
Space group Pnma (No. 62)
Unique sites:
Er 0.082 0.068 0.174 x8
Er 0.227 0.750 0.355 x4
In 0.000 0.000 0.500 x4
Hg 0.206 0.750 0.007 x4

---

Entry 10:
First-principles (PBE) data for an optimized crystal structure of K2HgBPd, as listed in Alexandria.

Properties
magnetic moment	1.399	μB/f.u.
final energy	-1.794	eV/atom
energy of formation	1.08	eV per atom

Lattice parameters (Å, degrees): 6.382 6.382 5.130 90.00 90.00 90.00
Space group P4/mmm (No. 123)
Unique sites:
K 0.000 0.500 0.000 x2
Hg 0.000 0.000 0.000 x1
B 0.500 0.500 0.500 x1
Pd 0.000 0.000 0.500 x1

---

Entry 11:
First-principles (PBE) data for an optimized crystal structure of BaZrFe2, as listed in Alexandria.

Properties
magnetic moment	0.000	μB/f.u.
final energy	-5.912	eV/atom
energy of formation	0.94	eV per atom
ΔE to the lowest computed polymorph	648	meV/atom

Lattice parameters (Å, degrees): 6.767 6.767 6.767 90.00 90.00 90.00
Space group Fm-3m (No. 225)
Unique sites:
Ba 0.000 0.000 0.000 x4
Zr 0.000 0.000 0.500 x4
Fe 0.250 0.250 0.250 x8

---

Entry 12:
First-principles (PBE) data for an optimized crystal structure of TaCuN3, as listed in Alexandria.

Properties
magnetic moment	0.000	μB/f.u.
final energy	-6.981	eV/atom

Lattice parameters (Å, degrees): 3.635 3.635 3.635 90.00 90.00 90.00
Space group Pm-3m (No. 221)
Unique sites:
Ta 0.000 0.000 0.000 x1
Cu 0.500 0.500 0.500 x1
N 0.000 0.500 0.500 x3